1.
A plane-wave DFT calculation with GGA+U was carried out for a geometry-optimized NaTl2V2O6 structure.

Cell lengths 6.2627, 6.2627, 6.9647 Å; angles 63.28, 63.28, 60.00 degrees
With the nearest neighbours (Å) after each atom.
Fractional positions:
Na 0.0000 0.0000 0.0000  6 O 2.43
Tl 0.7993 0.7993 0.6021  3 O 2.83
Tl 0.2007 0.2007 0.3979  3 O 2.83
V 0.4201 0.4201 0.7397  3 O 1.71
V 0.5799 0.5799 0.2603  3 O 1.71
O 0.7400 0.7400 0.2515  1 V 1.71
O 0.2684 0.7400 0.2515  1 V 1.71
O 0.7400 0.2684 0.2515  1 V 1.71
O 0.2600 0.7316 0.7485  1 V 1.71
O 0.7316 0.2600 0.7485  1 V 1.71
O 0.2600 0.2600 0.7485  1 V 1.71

Properties
The electronic total energy comes out at -65.5 eV per formula unit. The space group is R-3m (166).

2.
A plane-wave DFT calculation with GGA+U was carried out for a geometry-optimized Na3TlV4O12 structure.

Cell lengths 7.4629, 7.4629, 7.4629 Å; angles 111.07, 111.07, 111.07 degrees
With the nearest neighbours (Å) after each atom.
Fractional positions:
Na 0.5718 0.4282 0.0000  6 O 2.30-2.43
Na 0.4282 0.0000 0.5718  6 O 2.30-2.43
Na 0.0000 0.5718 0.4282  6 O 2.30-2.43
Tl 0.0000 0.0000 0.0000  6 O 3.07, 2 V 3.43
V 0.9242 0.0758 0.5000  3 O 1.68-1.74
V 0.0758 0.5000 0.9242  3 O 1.68-1.74
V 0.5000 0.9242 0.0758  3 O 1.68-1.74
V 0.5000 0.5000 0.5000  3 O 1.68
O 0.5000 0.3633 0.6367  1 V 1.68
O 0.9392 0.5000 0.0608  1 V 1.68
O 0.0608 0.9392 0.5000  1 V 1.68
O 0.5000 0.0608 0.9392  1 V 1.68
O 0.3555 0.8979 0.2118  1 V 1.74
O 0.2118 0.3555 0.8979  1 V 1.74
O 0.8979 0.2118 0.3555  1 V 1.74
O 0.6445 0.7882 0.1021  1 V 1.74
O 0.1021 0.6445 0.7882  1 V 1.74
O 0.7882 0.1021 0.6445  1 V 1.74
O 0.6367 0.5000 0.3633  1 V 1.68
O 0.3633 0.6367 0.5000  1 V 1.68

Properties
The electronic total energy comes out at -125.4 eV per formula unit. The space group is R32 (155).

3.
A plane-wave DFT calculation with GGA+U was carried out for a geometry-optimized NaTl2V2O7 structure.

Cell lengths 5.7343, 5.7343, 8.4111 Å; angles 70.07, 70.07, 60.00 degrees
With the nearest neighbours (Å) after each atom.
Fractional positions:
Na 0.5000 0.5000 0.5000  6 O 2.56
Tl 0.7131 0.7131 0.8607  3 O 2.41
Tl 0.2869 0.2869 0.1393  3 O 2.41
V 0.9215 0.9215 0.2356  4 O 1.72-1.82
V 0.0785 0.0785 0.7644  4 O 1.72-1.82
O 0.1886 0.8970 0.3006  1 V 1.72
O 0.6138 0.1886 0.3006  1 V 1.72
O 0.8970 0.6138 0.3006  1 V 1.72
O 0.3862 0.1030 0.6994  1 V 1.72
O 0.8114 0.3862 0.6994  1 V 1.72
O 0.0000 0.0000 0.0000  2 V 1.82
O 0.1030 0.8114 0.6994  1 V 1.72

Properties
The electronic total energy comes out at -73.6 eV per formula unit. The space group is R32 (155).

4.
A plane-wave DFT calculation with GGA+U was carried out for a geometry-optimized Na2TlVO4 structure.

Cell lengths 5.8685, 5.9108, 7.9421 Å; angles 90.00, 90.00, 90.00 degrees
With the nearest neighbours (Å) after each atom.
Fractional positions:
Na 0.4923 0.3288 0.2533  4 O 2.34-2.36
Na 0.4923 0.3288 0.7467  4 O 2.34-2.36
Na 0.9923 0.6712 0.7533  4 O 2.34-2.36
Na 0.9923 0.6712 0.2467  4 O 2.34-2.36
Tl 0.9599 0.1632 0.5000  4 O 2.71-2.74
Tl 0.4599 0.8368 0.0000  4 O 2.71-2.74
V 0.5072 0.8076 0.5000  4 O 1.75-1.76
V 0.0072 0.1924 0.0000  4 O 1.75-1.76
O 0.2973 0.2655 0.0000  1 V 1.76
O 0.7973 0.7345 0.5000  1 V 1.76
O 0.4970 0.1053 0.5000  1 V 1.76
O 0.9970 0.8947 0.0000  1 V 1.76
O 0.3770 0.6971 0.6798  1 V 1.75
O 0.8770 0.3029 0.1798  1 V 1.75
O 0.8770 0.3029 0.8202  1 V 1.75
O 0.3770 0.6971 0.3202  1 V 1.75

Properties
The electronic total energy comes out at -46.2 eV per formula unit. The space group is Pmn2_1 (31).

Q: electronic total energy of number 2 (Na3TlV4O12)?
A: -125.4 eV per formula unit

Q: Among the records above, which one has the lowest electronic total energy?
A: Na3TlV4O12

Q: The lowest electronic total energy belongs to which entry?
A: Na3TlV4O12

Q: electronic total energy of number 2 (Na3TlV4O12)?
A: -125.4 eV per formula unit